Record 1
ScTaAs | PBE | relaxed

## Properties
Crystal system: monoclinic
VASP energy, Ha/atom: -0.305
Total magnetization, μB per formula unit: 0.00
Density, g/cm3: 8.74

abc: 5.3401 5.3401 7.2918
angles: 117.56 117.56 39.10
Fractional coordinates of all 6 atoms:
Sc: 0.0632 0.0632 0.3321
Sc: 0.9368 0.9368 0.6679
Ta: 0.3479 0.3479 0.9558
Ta: 0.6521 0.6521 0.0442
As: 0.3305 0.3305 0.3187
As: 0.6695 0.6695 0.6813

Record 2
NbCr2SbW | PBE | relaxed

## Properties
Crystal system: tetragonal
Total magnetization, μB per formula unit: 4.94
Density, g/cm3: 7.37
Energy relative to the elements, uncorrected, eV per atom: 1.94

abc: 4.7120 4.7120 5.0976
angles: 90.00 90.00 90.00
Fractional coordinates of all 5 atoms:
Nb: 0.0000 0.0000 0.0000
Cr: 0.0000 0.5000 0.5000
Cr: 0.5000 0.0000 0.5000
Sb: 0.0000 0.0000 0.5000
W: 0.5000 0.5000 0.0000

Record 3
SrTeRu2 | PBE | relaxed

## Properties
Crystal system: tetragonal
Total magnetization, μB per formula unit: 0.00
Density, g/cm3: 8.12
Energy relative to the elements, uncorrected, eV per atom: 0.27

abc: 3.2734 3.2734 7.9651
angles: 90.00 90.00 90.00
Fractional coordinates of all 4 atoms:
Sr: 0.0000 0.0000 0.0000
Te: 0.5000 0.5000 0.3351
Ru: 0.0000 0.0000 0.5582
Ru: 0.5000 0.5000 0.7213

Record 4
YUGaO6 | PBE | relaxed

## Properties
Crystal system: trigonal
Total magnetization, μB per formula unit: 0.00
Density, g/cm3: 6.68
Energy relative to the elements, uncorrected, eV per atom: -2.84

abc: 5.3446 5.3446 9.9007
angles: 90.00 90.00 120.00
Fractional coordinates of all 18 atoms:
Y: 0.0000 0.0000 0.0000
Y: 0.0000 0.0000 0.5000
U: 0.3333 0.6667 0.2500
U: 0.6667 0.3333 0.7500
Ga: 0.3333 0.6667 0.7500
Ga: 0.6667 0.3333 0.2500
O: 0.0102 0.3555 0.6377
O: 0.0102 0.6547 0.8623
O: 0.3453 0.3555 0.8623
O: 0.3453 0.9898 0.6377
O: 0.3555 0.0102 0.1377
O: 0.3555 0.3453 0.3623
O: 0.6445 0.6547 0.6377
O: 0.6445 0.9898 0.8623
O: 0.6547 0.0102 0.3623
O: 0.6547 0.6445 0.1377
O: 0.9898 0.3453 0.1377
O: 0.9898 0.6445 0.3623

Record 5
Pm2ZrNi3H12 | PBE | relaxed

## Properties
Crystal system: trigonal
VASP energy, Ha/atom: -0.165
Total magnetization, μB per formula unit: 0.00
Density, g/cm3: 6.16

abc: 6.0273 6.0273 6.0273
angles: 59.64 59.64 59.64
Fractional coordinates of all 18 atoms:
Pm: 0.1122 0.1122 0.1122
Pm: 0.8878 0.8878 0.8878
Zr: 0.5000 0.5000 0.5000
Ni: 0.0000 0.5000 0.5000
Ni: 0.5000 0.0000 0.5000
Ni: 0.5000 0.5000 0.0000
H: 0.0790 0.6292 0.6292
H: 0.2196 0.2196 0.6310
H: 0.2196 0.6310 0.2196
H: 0.3690 0.7804 0.7804
H: 0.3708 0.3708 0.9210
H: 0.3708 0.9210 0.3708
H: 0.6292 0.0790 0.6292
H: 0.6292 0.6292 0.0790
H: 0.6310 0.2196 0.2196
H: 0.7804 0.3690 0.7804
H: 0.7804 0.7804 0.3690
H: 0.9210 0.3708 0.3708

Record 6
TbTiCuIr | PBE | relaxed

## Properties
Crystal system: cubic
VASP energy, Ha/atom: -0.248
Total magnetization, μB per formula unit: 0.16
Density, g/cm3: 10.77

abc: 4.6546 4.6546 4.6546
angles: 60.00 60.00 60.00
Fractional coordinates of all 4 atoms:
Tb: 0.0000 0.0000 0.0000
Ti: 0.5000 0.5000 0.5000
Cu: 0.7500 0.7500 0.7500
Ir: 0.2500 0.2500 0.2500

Please write out number 4 again, unchanged.
YUGaO6 | PBE | relaxed

## Properties
Crystal system: trigonal
Total magnetization, μB per formula unit: 0.00
Density, g/cm3: 6.68
Energy relative to the elements, uncorrected, eV per atom: -2.84

abc: 5.3446 5.3446 9.9007
angles: 90.00 90.00 120.00
Fractional coordinates of all 18 atoms:
Y: 0.0000 0.0000 0.0000
Y: 0.0000 0.0000 0.5000
U: 0.3333 0.6667 0.2500
U: 0.6667 0.3333 0.7500
Ga: 0.3333 0.6667 0.7500
Ga: 0.6667 0.3333 0.2500
O: 0.0102 0.3555 0.6377
O: 0.0102 0.6547 0.8623
O: 0.3453 0.3555 0.8623
O: 0.3453 0.9898 0.6377
O: 0.3555 0.0102 0.1377
O: 0.3555 0.3453 0.3623
O: 0.6445 0.6547 0.6377
O: 0.6445 0.9898 0.8623
O: 0.6547 0.0102 0.3623
O: 0.6547 0.6445 0.1377
O: 0.9898 0.3453 0.1377
O: 0.9898 0.6445 0.3623

total magnetization of number 2 (NbCr2SbW)?
4.94 μB per formula unit

total magnetization of number 5 (Pm2ZrNi3H12)?
0.00 μB per formula unit

Look up the total magnetization of the second one.
4.94 μB per formula unit